1.
This record from the Alexandria database describes a geometry-optimized Y4Tc structure. The functional is PBE-GGA.

Lattice parameters (Å, degrees): 9.4164 9.4164 9.4164 155.31 155.31 35.19
Last column: nearest neighbours and their distance in Å.
Fractional positions:
Y 0.0832 0.0832 0.0000  1 Y 2.99, 4 Tc 3.21
Y 0.2500 0.7500 0.5000  4 Y 2.85
Y 0.7500 0.2500 0.5000  4 Y 2.85
Y 0.9168 0.9168 0.0000  1 Y 2.99, 4 Tc 3.21
Tc 0.5000 0.5000 0.0000  8 Y 3.21

Summary:
* space-group type: I4/mmm
* formation energy: 362 kJ/mol of formula units
* distance to the lowest polymorph of the same formula: 0.693 eV/atom
* crystal system: tetragonal



2.
This record from the Alexandria database describes a geometry-optimized Nd3Pt7Rh2 structure. The functional is PBE-GGA.

Lattice parameters (Å, degrees): 9.4247 9.4247 9.4247 33.61 33.61 33.61
Last column: nearest neighbours and their distance in Å.
Fractional positions:
Nd 0.0000 0.0000 0.0000  6 Rh 3.15, 12 Pt 3.50
Nd 0.1386 0.1386 0.1386  12 Pt 3.11-3.38
Nd 0.8614 0.8614 0.8614  12 Pt 3.11-3.38
Pt 0.0793 0.5840 0.5840  2 Rh 2.68-2.73, 5 Pt 2.70-2.75
Pt 0.4160 0.4160 0.9207  2 Rh 2.68-2.73, 5 Pt 2.70-2.75
Pt 0.4160 0.9207 0.4160  2 Rh 2.68-2.73, 5 Pt 2.70-2.75
Pt 0.5000 0.5000 0.5000  6 Pt 2.75
Pt 0.5840 0.0793 0.5840  2 Rh 2.68-2.73, 5 Pt 2.70-2.75
Pt 0.5840 0.5840 0.0793  2 Rh 2.68-2.73, 5 Pt 2.70-2.75
Pt 0.9207 0.4160 0.4160  2 Rh 2.68-2.73, 5 Pt 2.70-2.75
Rh 0.3325 0.3325 0.3325  6 Pt 2.68-2.73
Rh 0.6675 0.6675 0.6675  6 Pt 2.68-2.73

Summary:
* space-group type: R-3m
* formation energy: -970 kJ/mol of formula units
* crystal system: trigonal



3.
This record from the Alexandria database describes a geometry-optimized YbZn3 structure. The functional is PBE-GGA.

Lattice parameters (Å, degrees): 6.2552 6.2552 4.5453 90.00 90.00 120.00
Last column: nearest neighbours and their distance in Å.
Fractional positions:
Yb 0.3333 0.6667 0.2500  12 Zn 3.03-3.13
Yb 0.6667 0.3333 0.7500  12 Zn 3.03-3.13
Zn 0.1490 0.2979 0.7500  6 Zn 2.79-2.80, 2 Yb 3.03
Zn 0.1490 0.8510 0.7500  6 Zn 2.79-2.80, 2 Yb 3.03
Zn 0.2979 0.1490 0.2500  6 Zn 2.79-2.80, 2 Yb 3.03
Zn 0.7021 0.8510 0.7500  6 Zn 2.79-2.80, 2 Yb 3.03
Zn 0.8510 0.1490 0.2500  6 Zn 2.79-2.80, 2 Yb 3.03
Zn 0.8510 0.7021 0.2500  6 Zn 2.79-2.80, 2 Yb 3.03

Summary:
* space-group type: P6_3/mmc
* formation energy: -93 kJ/mol of formula units
* crystal system: hexagonal



4.
This record from the Alexandria database describes a geometry-optimized YFe4As12 structure. The functional is PBE-GGA.

Lattice parameters (Å, degrees): 7.2211 7.2211 7.2211 109.47 109.47 109.47
Last column: nearest neighbours and their distance in Å.
Fractional positions:
Y 0.0000 0.0000 0.0000  12 As 3.13
Fe 0.0000 0.0000 0.5000  6 As 2.36
Fe 0.0000 0.5000 0.0000  6 As 2.36
Fe 0.5000 0.0000 0.0000  6 As 2.36
Fe 0.5000 0.5000 0.5000  6 As 2.36
As 0.1552 0.4964 0.3413  2 Fe 2.36, 1 As 2.59
As 0.1552 0.8139 0.6587  2 Fe 2.36, 1 As 2.59
As 0.1861 0.3413 0.8448  2 Fe 2.36, 1 As 2.59
As 0.3413 0.1552 0.4964  2 Fe 2.36, 1 As 2.59
As 0.3413 0.8448 0.1861  2 Fe 2.36, 1 As 2.59
As 0.4964 0.3413 0.1552  2 Fe 2.36, 1 As 2.59
As 0.5036 0.6587 0.8448  2 Fe 2.36, 1 As 2.59
As 0.6587 0.1552 0.8139  2 Fe 2.36, 1 As 2.59
As 0.6587 0.8448 0.5036  2 Fe 2.36, 1 As 2.59
As 0.8139 0.6587 0.1552  2 Fe 2.36, 1 As 2.59
As 0.8448 0.1861 0.3413  2 Fe 2.36, 1 As 2.59
As 0.8448 0.5036 0.6587  2 Fe 2.36, 1 As 2.59

Summary:
* space-group type: Im-3
* formation energy: -586 kJ/mol of formula units
* crystal system: cubic



5.
This record from the Alexandria database describes a geometry-optimized LiReMo3 structure. The functional is PBE-GGA.

Lattice parameters (Å, degrees): 4.7811 4.7811 4.7811 90.00 90.00 90.00
Last column: nearest neighbours and their distance in Å.
Fractional positions:
Li 0.0000 0.0000 0.0000  12 Mo 3.38
Re 0.5000 0.5000 0.5000  6 Mo 2.39
Mo 0.0000 0.5000 0.5000  2 Re 2.39
Mo 0.5000 0.0000 0.5000  2 Re 2.39
Mo 0.5000 0.5000 0.0000  2 Re 2.39

Summary:
* space-group type: Pm-3m
* formation energy: 760 kJ/mol of formula units
* distance to the lowest polymorph of the same formula: 0.287 eV/atom
* crystal system: cubic



6.
This record from the Alexandria database describes a geometry-optimized Zn2CrTe structure. The functional is PBE-GGA.

Lattice parameters (Å, degrees): 4.4419 4.4419 5.9446 95.06 95.06 48.96
Last column: nearest neighbours and their distance in Å.
Fractional positions:
Zn 0.0000 0.0000 0.0000  3 Zn 2.50-2.59, 3 Cr 2.65-2.74
Zn 0.6962 0.6962 0.8741  3 Zn 2.50-2.59, 1 Te 2.70, 2 Cr 2.75
Cr 0.3081 0.3081 0.1970  5 Zn 2.65-2.75, 3 Te 2.75-2.81
Te 0.6305 0.6305 0.4208  1 Zn 2.70, 3 Cr 2.75-2.81

Summary:
* space-group type: Cm
* energy relative to the elements, uncorrected: 0.130 eV/atom
* crystal system: monoclinic



7.
This record from the Alexandria database describes a geometry-optimized SmSn2Pd6 structure. The functional is PBE-GGA.

Lattice parameters (Å, degrees): 5.5884 5.5884 7.0403 90.00 90.00 120.00
Last column: nearest neighbours and their distance in Å.
Fractional positions:
Sm 0.0000 0.0000 0.0000  12 Pd 3.11
Sn 0.3333 0.6667 0.5000  6 Pd 2.70
Sn 0.6667 0.3333 0.5000  6 Pd 2.70
Pd 0.0000 0.5000 0.1928  2 Sn 2.70, 5 Pd 2.71-2.79
Pd 0.0000 0.5000 0.8072  2 Sn 2.70, 5 Pd 2.71-2.79
Pd 0.5000 0.0000 0.1928  2 Sn 2.70, 5 Pd 2.71-2.79
Pd 0.5000 0.0000 0.8072  2 Sn 2.70, 5 Pd 2.71-2.79
Pd 0.5000 0.5000 0.1928  2 Sn 2.70, 5 Pd 2.71-2.79
Pd 0.5000 0.5000 0.8072  2 Sn 2.70, 5 Pd 2.71-2.79

Summary:
* space-group type: P6/mmm
* formation energy: -444 kJ/mol of formula units
* crystal system: hexagonal



8.
This record from the Alexandria database describes a geometry-optimized Rb6SbH2 structure. The functional is PBE-GGA.

Lattice parameters (Å, degrees): 8.4758 8.4758 10.7625 122.51 122.51 43.11
Last column: nearest neighbours and their distance in Å.
Fractional positions:
Rb 0.0281 0.0281 0.1940  2 H 2.93-3.28
Rb 0.2657 0.2657 0.8875  3 H 3.06-3.18
Rb 0.3524 0.3524 0.4211  1 H 3.01
Rb 0.6476 0.6476 0.5789  1 H 3.01
Rb 0.7343 0.7343 0.1125  3 H 3.06-3.18
Rb 0.9719 0.9719 0.8060  2 H 2.93-3.28
Sb 0.0000 0.0000 0.5000  8 Rb 3.57-3.84
H 0.1840 0.1840 0.0851  6 Rb 2.93-3.28
H 0.8160 0.8160 0.9149  6 Rb 2.93-3.28

Summary:
* space-group type: C2/m
* uncorrected energy: -2.01 eV per atom
* crystal system: monoclinic



Here are the calculated magnetic moment numbers, same order: 0.00 0.00 0.00 1.09 0.00 3.44 0.00 0.85 (Bohr magnetons per cell).
Here are the calculated DOS(E_F) numbers, same order: 0.8552 0.8319 0.4089 0.8761 1.3791 0.4057 0.3447 0.3120 (states/eV per atom).